Sc2NbAg | PBE-GGA | optimized geometry

## Properties
SG: No. 123
Distance to the lowest polymorph of the same formula: 10.7 kJ/mol of atoms
Total magnetization: 0.00 Bohr magnetons per cell
Energy of formation: 0.04 eV/atom

Cell and atoms, written as POSCAR:
```
Sc2NbAg
1.0
3.145 0.000 0.000
0.000 5.061 0.000
0.000 0.000 5.061
Sc Nb Ag
2 1 1
Cartesian
0.000 0.000 2.531
0.000 2.531 0.000
1.572 2.531 2.531
1.572 0.000 0.000
```